## FeNi5Sn (PBE-GGA)

Data for an optimized crystal structure of FeNi5Sn.

Unit cell a=5.1380 b=7.1722 c=5.0289 alpha=90.00 beta=90.00 gamma=90.00
With the nearest neighbours (Å) after each atom.
Space group Cmmm (No. 65)
Asymmetric unit:
Fe 0.0000 0.0000 0.0000 [2 per cell]  10 Ni 2.51
Ni 0.0000 0.0000 0.5000 [2 per cell]  2 Fe 2.51, 2 Sn 2.57, 8 Ni 2.57
Ni 0.2500 0.2500 0.2373 [8 per cell]  6 Ni 2.39-2.64, 2 Fe 2.51, 2 Sn 2.57
Sn 0.0000 0.5000 0.5000 [2 per cell]  10 Ni 2.57

Output
final energy = -5.85 eV per atom

---

## Ce3TeOsCl (PBE-GGA)

Data for an optimized crystal structure of Ce3TeOsCl.

Unit cell a=7.7043 b=4.4606 c=9.4836 alpha=90.00 beta=104.60 gamma=90.00
With the nearest neighbours (Å) after each atom.
Space group P2_1/m (No. 11)
Asymmetric unit:
Ce 0.0200 0.2500 0.3558 [2 per cell]  1 Os 2.56
Ce 0.2109 0.2500 0.9460 [2 per cell]  3 Cl 2.85-2.97, 1 Os 3.15
Ce 0.4289 0.7500 0.5867 [2 per cell]  2 Os 2.81, 1 Cl 2.85, 2 Ce 3.13
Te 0.2276 0.7500 0.2070 [2 per cell]  8 Ce 3.27-3.63
Os 0.2197 0.2500 0.6160 [2 per cell]  3 Ce 2.56-2.81
Cl 0.4092 0.7500 0.8832 [2 per cell]  4 Ce 2.85-2.97

Output
raw formation energy = -0.86 eV/atom

---

## Ti2CoCu (PBE-GGA)

Data for an optimized crystal structure of Ti2CoCu.

Unit cell a=6.7424 b=6.7424 c=5.1223 alpha=90.00 beta=90.00 gamma=90.00
With the nearest neighbours (Å) after each atom.
Space group I-42d (No. 122)
Asymmetric unit:
Ti 0.2204 0.2500 0.1250 [8 per cell]  2 Co 2.34, 2 Ti 2.59, 2 Cu 2.61
Co 0.0000 0.0000 0.0000 [4 per cell]  4 Ti 2.34, 2 Cu 2.56
Cu 0.0000 0.0000 0.5000 [4 per cell]  2 Co 2.56, 4 Ti 2.61

Output
final energy = -6.61 eV per atom

---

## Al2InSe (PBE-GGA)

Data for an optimized crystal structure of Al2InSe.

Unit cell a=5.6840 b=9.8583 c=4.1937 alpha=90.00 beta=131.55 gamma=90.00
With the nearest neighbours (Å) after each atom.
Space group C2/m (No. 12)
Asymmetric unit:
Al 0.2500 0.2500 0.0000 [4 per cell]  4 Al 2.84-3.14, 2 In 2.92, 2 Se 2.92
In 0.0000 0.0000 0.5000 [2 per cell]  4 Se 2.84-3.14, 4 Al 2.92
Se 0.0000 0.5000 0.5000 [2 per cell]  4 In 2.84-3.14, 4 Al 2.92

Output
raw formation energy = -0.01 eV/atom
excess energy over the best structure of this formula in the dataset = 0.094 eV/atom

---

## Dy12Er3Os5 (PBE-GGA)

Data for an optimized crystal structure of Dy12Er3Os5.

Unit cell a=17.4613 b=17.4613 c=17.4613 alpha=90.00 beta=90.00 gamma=90.00
With the nearest neighbours (Å) after each atom.
Space group Ia-3d (No. 230)
Asymmetric unit:
Dy 0.0430 0.0578 0.6382 [96 per cell]  2 Os 2.62-2.72
Er 0.0000 0.2500 0.1250 [24 per cell]  8 Dy 3.45-3.66
Os 0.0000 0.0000 0.0000 [16 per cell]  6 Dy 2.72
Os 0.0000 0.2500 0.3750 [24 per cell]  4 Dy 2.62

Output
final energy = -5.70 eV per atom

---

## Pr2SmGa (PBE-GGA)

Data for an optimized crystal structure of Pr2SmGa.

Unit cell a=4.2532 b=12.2055 c=9.5496 alpha=90.00 beta=90.00 gamma=90.00
With the nearest neighbours (Å) after each atom.
Space group Cmcm (No. 63)
Asymmetric unit:
Pr 0.0000 0.1409 0.0545 [8 per cell]  3 Ga 3.16-3.17
Sm 0.0000 0.4380 0.2500 [4 per cell]  2 Ga 3.07
Ga 0.0000 0.2437 0.7500 [4 per cell]  2 Sm 3.07, 6 Pr 3.16-3.17

Output
excess energy over the best structure of this formula in the dataset = 0.000 eV/atom

---

## KHf2SiPt (PBE-GGA)

Data for an optimized crystal structure of KHf2SiPt.

Unit cell a=4.8761 b=4.8761 c=4.7687 alpha=90.00 beta=90.00 gamma=90.00
With the nearest neighbours (Å) after each atom.
Space group P4/mmm (No. 123)
Asymmetric unit:
K 0.0000 0.0000 0.0000 [1 per cell]  2 Pt 2.38, 4 Hf 2.44
Hf 0.0000 0.5000 0.0000 [2 per cell]  2 K 2.44
Si 0.5000 0.5000 0.5000 [1 per cell]  8 Hf 3.41, 4 Pt 3.45
Pt 0.0000 0.0000 0.5000 [1 per cell]  2 K 2.38

Output
raw formation energy = 2.13 eV/atom

---

## Tm5Cu2Te2 (PBE-GGA)

Data for an optimized crystal structure of Tm5Cu2Te2.

Unit cell a=15.1997 b=7.7336 c=7.6704 alpha=90.00 beta=90.00 gamma=90.00
With the nearest neighbours (Å) after each atom.
Space group Cmce (No. 64)
Asymmetric unit:
Tm 0.0000 0.0000 0.0000 [4 per cell]  4 Cu 3.03, 2 Te 3.16
Tm 0.1195 0.1622 0.3391 [16 per cell]  3 Cu 2.87-2.92, 3 Te 3.16-3.19
Cu 0.0000 0.1294 0.6267 [8 per cell]  1 Cu 2.79, 8 Tm 2.87-3.03
Te 0.2079 0.0000 0.0000 [8 per cell]  7 Tm 3.16-3.19

Output
raw formation energy = -0.68 eV/atom

---

## NaPuBr2 (PBE-GGA)

Data for an optimized crystal structure of NaPuBr2.

Unit cell a=3.8904 b=3.8904 c=30.5492 alpha=90.00 beta=90.00 gamma=120.00
With the nearest neighbours (Å) after each atom.
Space group R-3m (No. 166, hexagonal axes)
Asymmetric unit:
Na 0.0000 0.0000 0.0000 [3 per cell]  2 Br 3.10
Pu 0.0000 0.0000 0.5000 [3 per cell]  6 Br 3.00
Br 0.0000 0.0000 0.1016 [6 per cell]  3 Pu 3.00, 1 Na 3.10

Output
raw formation energy = -1.05 eV/atom

---

## RbAc4Si4 (PBE-GGA)

Data for an optimized crystal structure of RbAc4Si4.

Unit cell a=10.4307 b=10.4307 c=6.1815 alpha=90.00 beta=90.00 gamma=90.00
With the nearest neighbours (Å) after each atom.
Space group P4_2/n (No. 86, origin choice 2)
Asymmetric unit:
Rb 0.2500 0.2500 0.2500 [2 per cell]  4 Si 3.83, 4 Ac 4.26
Ac 0.1141 0.6284 0.1245 [8 per cell]  5 Si 3.14-3.39
Si 0.0599 0.5678 0.6270 [8 per cell]  1 Si 2.45

Output
raw formation energy = -0.24 eV/atom

---

## LiMnSiW (PBE-GGA)

Data for an optimized crystal structure of LiMnSiW.

Unit cell a=5.7736 b=5.7736 c=5.7736 alpha=90.00 beta=90.00 gamma=90.00
With the nearest neighbours (Å) after each atom.
Space group F-43m (No. 216)
Asymmetric unit:
Li 0.0000 0.0000 0.0000 [4 per cell]  4 W 2.50, 4 Si 2.50
Mn 0.0000 0.0000 0.5000 [4 per cell]  4 W 2.50, 4 Si 2.50
Si 0.2500 0.2500 0.2500 [4 per cell]  4 Mn 2.50, 4 Li 2.50
W 0.2500 0.2500 0.7500 [4 per cell]  4 Mn 2.50, 4 Li 2.50

Output
raw formation energy = -0.20 eV/atom

---

## CePrLu2 (PBE-GGA)

Data for an optimized crystal structure of CePrLu2.

Unit cell a=5.0642 b=5.0642 c=4.8557 alpha=90.00 beta=90.00 gamma=90.00
With the nearest neighbours (Å) after each atom.
Space group P4/mmm (No. 123)
Asymmetric unit:
Ce 0.0000 0.0000 0.0000 [1 per cell]  8 Lu 3.51, 4 Pr 3.58
Pr 0.5000 0.5000 0.0000 [1 per cell]  8 Lu 3.51, 4 Ce 3.58
Lu 0.0000 0.5000 0.5000 [2 per cell]  4 Pr 3.51, 4 Ce 3.51, 4 Lu 3.58

Output
excess energy over the best structure of this formula in the dataset = 0.016 eV/atom